i) BiB2Mo2 | GGA-PBE | optimized geometry

```
10
Lattice="-0.8301 1.6843 -6.2425 -2.0798 -6.0288 -1.3501 -3.0369 0.9027 0.6474" Properties=species:S:1:pos:R:3 pbc="T T T"
Mo -3.0199 -3.2521 -1.5555
Mo -3.8151 -3.5120 -4.9236
Mo -2.9270 -0.1897 -5.3897
Mo -2.1317 0.0702 -2.0216
B -2.2155 -4.7697 -3.7425
B -1.9900 -2.0705 -6.4479
B -0.6944 0.4251 -3.8501
B -0.9199 -2.2740 -1.1447
Bi 0.0000 0.0000 0.0000
Bi -1.4550 -2.1723 -3.7963
```

Computed properties:
- N(E_F) (states/eV/cell) = 3.49

***

ii) BiB2Mo2 | GGA-PBE | optimized geometry

```
5
Lattice="-3.5540 -0.6779 1.1166 1.3062 -1.8002 3.0644 -1.1473 3.0603 4.6262" Properties=species:S:1:pos:R:3 pbc="T T T"
Mo -2.9126 0.5717 3.9166
Mo -0.4825 0.0105 4.8905
B -1.1284 -0.4186 2.5744
B -2.2668 1.0007 6.2327
Bi 0.0000 0.0000 0.0000
```

Computed properties:
- N(E_F) (states/eV/cell) = 2.59

***

Q: What are the energies relative to the best structure? A: i) 0; ii) 89, in meV/atom.

***

i) Bi2BMo2 | GGA-PBE | optimized geometry

```
5
Lattice="5.7103 0.0000 0.0000 0.0000 5.7103 0.0000 2.8552 2.8552 3.2662" Properties=species:S:1:pos:R:3 pbc="T T T"
Mo 2.8552 2.8552 1.1733
Mo 5.7103 5.7103 2.0929
B 0.0000 0.0000 0.0000
Bi 5.7103 2.8552 1.6331
Bi 2.8552 5.7103 1.6331
```

Computed properties:
- N(E_F) (states/eV/cell) = 3.51

***

ii) Bi2BMo2 | GGA-PBE | optimized geometry

```
10
Lattice="-4.2602 0.2235 4.3004 3.8763 -2.4358 3.9666 1.6403 4.8465 1.3731" Properties=species:S:1:pos:R:3 pbc="T T T"
Mo 1.8047 -1.9871 4.8576
Mo -1.0827 -1.3994 6.2328
Mo -2.1885 -0.2252 3.4094
Mo 0.6989 -0.8129 2.0341
B 0.0000 0.0000 0.0000
B -0.1919 -1.1061 4.1335
Bi 2.6862 0.7897 4.2232
Bi 1.0375 0.5989 6.8661
Bi -1.4297 1.8445 5.4169
Bi 0.2189 2.0353 2.7740
```

Computed properties:
- N(E_F) (states/eV/cell) = 8.22

***

Q: What are the energies relative to the best structure? A: i) 340; ii) 0, in meV/atom.

***

i) BiBMo2 | GGA-PBE | optimized geometry

```
8
Lattice="-1.0967 -4.8882 -1.1146 -0.7388 -0.9709 4.9851 -6.9373 -1.4417 1.3329" Properties=species:S:1:pos:R:3 pbc="T T T"
Mo -2.3481 -2.8057 0.4265
Mo -2.4972 -2.3095 3.1428
Mo -6.0018 -3.4236 3.1968
Mo -6.6985 -6.0627 3.6407
B -0.9177 -2.9295 1.9352
B -4.2969 -2.6711 4.1266
Bi 0.0000 0.0000 0.0000
Bi -4.4759 -4.6297 1.0768
```

Computed properties:
- N(E_F) (states/eV/cell) = 6.01

***

ii) BiBMo2 | GGA-PBE | optimized geometry

```
4
Lattice="0.0000 3.1675 3.1675 3.1675 0.0000 3.1675 3.1675 3.1675 0.0000" Properties=species:S:1:pos:R:3 pbc="T T T"
Mo 1.5838 1.5838 1.5838
Mo 4.7513 4.7513 4.7513
B 0.0000 0.0000 0.0000
Bi 3.1675 3.1675 3.1675
```

Computed properties:
- N(E_F) (states/eV/cell) = 6.77

***

Q: What are the energies relative to the best structure? A: i) 0; ii) 127, in meV/atom.

***

i) BiBN2 | GGA-PBE | optimized geometry

```
8
Lattice="5.0989 0.0000 0.0000 0.0000 5.0989 0.0000 2.5495 2.5495 3.3841" Properties=species:S:1:pos:R:3 pbc="T T T"
B 2.5495 2.5495 0.0000
B 2.5495 5.0989 1.6920
Bi 0.0000 0.0000 0.0000
Bi 5.0989 2.5495 1.6920
N 3.0823 1.2747 0.8460
N 2.0166 3.8242 0.8460
N 3.8242 4.5661 2.5380
N 6.3737 5.6317 2.5380
```

Computed properties:
- N(E_F) (states/eV/cell) = 0.54

***

ii) BiBN2 | GGA-PBE | optimized geometry

```
4
Lattice="2.1771 0.0000 5.1447 -1.0886 1.8854 5.1447 -1.0886 -1.8854 5.1447" Properties=species:S:1:pos:R:3 pbc="T T T"
B 0.0000 0.0000 0.0000
Bi 0.0000 0.0000 7.7170
N 0.0000 0.0000 14.0900
N 0.0000 0.0000 1.3440
```

Computed properties:
- N(E_F) (states/eV/cell) = 0.00

***

Q: What are the energies relative to the best structure? A: i) 266; ii) 0, in meV/atom.

***

i) BiBTe2N | GGA-PBE | optimized geometry

```
5
Lattice="6.8816 0.0000 0.0000 0.0000 2.7832 0.0000 0.0000 0.0000 6.8816" Properties=species:S:1:pos:R:3 pbc="T T T"
B 0.0000 0.0000 0.0000
Te 0.0000 0.0000 3.4408
Te 3.4408 0.0000 0.0000
Bi 3.4408 1.3916 3.4408
N 0.0000 1.3916 0.0000
```

Computed properties:
- N(E_F) (states/eV/cell) = 3.70

***

ii) BiBTe2N | GGA-PBE | optimized geometry

```
5
Lattice="-1.9062 -3.7062 -4.2962 3.0378 -4.4945 2.5294 -3.5145 -1.0083 2.4292" Properties=species:S:1:pos:R:3 pbc="T T T"
B -1.1914 -4.6045 0.3312
Te 1.5189 -2.2472 1.2647
Te -0.9531 -1.8531 -2.1481
Bi 0.0000 0.0000 0.0000
N -1.7572 -0.5042 1.2146
```

Computed properties:
- N(E_F) (states/eV/cell) = 5.34

***

Q: What are the energies relative to the best structure? A: i) 0; ii) 1704, in meV/atom.

***

i) Na3BiB | GGA-PBE | optimized geometry

```
5
Lattice="5.1308 0.0000 0.0000 0.0000 5.1308 0.0000 0.0000 0.0000 5.1308" Properties=species:S:1:pos:R:3 pbc="T T T"
Na 0.0000 2.5654 0.0000
Na 0.0000 0.0000 2.5654
Na 2.5654 0.0000 0.0000
B 0.0000 0.0000 0.0000
Bi 2.5654 2.5654 2.5654
```

Computed properties:
- N(E_F) (states/eV/cell) = 1.73

***

ii) Na3BiB | GGA-PBE | optimized geometry

```
5
Lattice="-0.4248 -5.7501 1.4293 -1.1512 -1.3255 -5.6749 5.8122 -0.6829 -1.0195" Properties=species:S:1:pos:R:3 pbc="T T T"
Na -0.5756 -0.6628 -2.8375
Na 2.9061 -0.3414 -0.5098
Na -0.2124 -2.8750 0.7146
B 2.1181 -3.8792 -2.6326
Bi 0.0000 0.0000 0.0000
```

Computed properties:
- N(E_F) (states/eV/cell) = 4.87

***

Q: What are the energies relative to the best structure? A: i) 0; ii) 303, in meV/atom.